DFT (GGA+U) results for crystalline Na2MnCoF6 at its relaxed geometry.

a b c (Å): 5.541 5.755 9.709
angles (deg): 90.00 124.70 90.00
Element x y z (fractional)
Na: 0.233 0.058 0.250
Na: 0.233 0.442 0.750
Na: 0.767 0.558 0.250
Na: 0.767 0.942 0.750
Mn: 0.500 0.000 0.000
Mn: 0.500 0.500 0.500
Co: 0.000 0.000 0.500
Co: 0.000 0.500 0.000
F: 0.129 0.204 0.939
F: 0.129 0.296 0.439
F: 0.240 0.694 0.940
F: 0.240 0.806 0.440
F: 0.360 0.048 0.745
F: 0.360 0.452 0.245
F: 0.640 0.548 0.755
F: 0.640 0.952 0.255
F: 0.760 0.194 0.560
F: 0.760 0.306 0.060
F: 0.871 0.704 0.561
F: 0.871 0.796 0.061

- Energy: -5.202 eV per atom
- Space-group type: P2_1/c
- Density of states at the Fermi level: 0.0 states/eV/f.u.